1.
Here is Tb2I3 after structural relaxation from the Alexandria database. Energies are from PBE.

The electronic total energy is -19.34 eV/f.u. The value obtained for the density of states at the Fermi level is 1.05 states/eV per cell. The calculation puts the formation energy without anion corrections at -5.4 eV/f.u.

Cell lengths 19.8390, 4.0883, 12.2036 Å; angles 90.00, 124.87, 90.00 degrees
Space group C2/m (No. 12)
Symmetry-distinct sites (fractional):
Tb 0.0668 0.0000 0.4604 [4 per cell]
Tb 0.1310 0.5000 0.7755 [4 per cell]
I 0.0328 0.5000 0.2402 [4 per cell]
I 0.1673 0.0000 0.0035 [4 per cell]
I 0.2125 0.5000 0.6211 [4 per cell]

---

2.
Here is Tb2I3 after structural relaxation from the Alexandria database. Energies are from PBE.

The electronic total energy is -19.44 eV/f.u. The calculation puts the formation energy without anion corrections at -5.5 eV/f.u.

Cell lengths 20.4964, 4.0991, 11.3817 Å; angles 90.00, 111.47, 90.00 degrees
Space group C2/m (No. 12)
Symmetry-distinct sites (fractional):
Tb 0.0743 0.0000 0.2432 [4 per cell]
Tb 0.0738 0.5000 0.9690 [4 per cell]
I 0.0748 0.0000 0.7565 [4 per cell]
I 0.1379 0.5000 0.4548 [4 per cell]
I 0.1903 0.0000 0.1338 [4 per cell]

---

3.
Here is TbI2 after structural relaxation from the Alexandria database. Energies are from PBE.

The electronic total energy is -11.49 eV/f.u. The value obtained for the density of states at the Fermi level is 3.41 states/eV per cell. The calculation puts the formation energy without anion corrections at -3.8 eV/f.u.

Cell lengths 4.1059, 7.1109, 33.0797 Å; angles 90.00, 90.00, 90.00 degrees
Space group C222_1 (No. 20)
Symmetry-distinct sites (fractional):
Tb 0.2415 0.0010 0.1236 [8 per cell]
I 0.2414 0.3323 0.9377 [8 per cell]
I 0.2418 0.3323 0.8150 [8 per cell]

---

4.
Here is Tb3TcI3 after structural relaxation from the Alexandria database. Energies are from PBE.

The electronic total energy is -33.68 eV/f.u. The value obtained for the density of states at the Fermi level is 14.30 states/eV per cell. The calculation puts the formation energy without anion corrections at -4.8 eV/f.u.

Cell lengths 7.2145, 7.2145, 34.5193 Å; angles 90.00, 90.00, 120.00 degrees
Space group R-3 (No. 148, hexagonal axes)
Symmetry-distinct sites (fractional):
Tb 0.0005 0.3755 0.4530 [18 per cell]
Tc 0.0000 0.0000 0.1667 [6 per cell]
I 0.0003 0.3163 0.6071 [18 per cell]

---

5.
Here is Tb4TcI5 after structural relaxation from the Alexandria database. Energies are from PBE.

The electronic total energy is -46.24 eV/f.u. The value obtained for the density of states at the Fermi level is 9.92 states/eV per cell. The calculation puts the formation energy without anion corrections at -9.6 eV/f.u.

Cell lengths 19.5386, 4.0196, 9.4588 Å; angles 90.00, 103.62, 90.00 degrees
Space group C2/m (No. 12)
Symmetry-distinct sites (fractional):
Tb 0.0001 0.0000 0.2199 [4 per cell]
Tb 0.1351 0.5000 0.0691 [4 per cell]
Tc 0.0000 0.5000 0.0000 [2 per cell]
I 0.0000 0.5000 0.5000 [2 per cell]
I 0.1671 0.0000 0.3309 [4 per cell]
I 0.1715 0.0000 0.8388 [4 per cell]

---

6.
Here is Tb5Tc2I2 after structural relaxation from the Alexandria database. Energies are from PBE.

The electronic total energy is -50.85 eV/f.u. The value obtained for the density of states at the Fermi level is 19.21 states/eV per cell. The calculation puts the formation energy without anion corrections at -3.9 eV/f.u.

Cell lengths 17.0199, 7.8474, 7.8442 Å; angles 90.00, 90.00, 90.00 degrees
Space group Cmce (No. 64)
Symmetry-distinct sites (fractional):
Tb 0.0000 0.0000 0.0000 [4 per cell]
Tb 0.1044 0.1577 0.3433 [16 per cell]
Tc 0.0000 0.1363 0.6360 [8 per cell]
I 0.2193 0.0000 0.0000 [8 per cell]

---

7.
Here is TbThTcI after structural relaxation from the Alexandria database. Energies are from PBE.

The electronic total energy is -25.60 eV/f.u. The value obtained for the density of states at the Fermi level is 7.71 states/eV per cell. The calculation puts the formation energy without anion corrections at -1.6 eV/f.u.

Cell lengths 4.1704, 4.1704, 23.8682 Å; angles 90.00, 90.00, 120.00 degrees
Space group R3m (No. 160, hexagonal axes)
Symmetry-distinct sites (fractional):
Tb 0.0000 0.0000 0.0000 [3 per cell]
Th 0.0000 0.0000 0.2147 [3 per cell]
Tc 0.0000 0.0000 0.5964 [3 per cell]
I 0.0000 0.0000 0.7668 [3 per cell]

---

8.
Here is Tb3TeI7 after structural relaxation from the Alexandria database. Energies are from PBE.

The electronic total energy is -43.19 eV/f.u. The value obtained for the density of states at the Fermi level is 0.00 states/eV per cell. The calculation puts the formation energy without anion corrections at -15.3 eV/f.u.

Cell lengths 8.8133, 8.8133, 7.4479 Å; angles 90.00, 90.00, 120.00 degrees
Space group P3m1 (No. 156)
Symmetry-distinct sites (fractional):
Tb 0.0122 0.5061 0.0000 [3 per cell]
Te 0.3333 0.6667 0.2348 [1 per cell]
I 0.1702 0.3404 0.7571 [3 per cell]
I 0.3409 0.1705 0.2235 [3 per cell]
I 0.6667 0.3333 0.7541 [1 per cell]

---

- Look up the formation energy without anion corrections of the fifth one.
  -9.6 eV/f.u.

---

- What is the formation energy without anion corrections in the fourth record?
  -4.8 eV/f.u.

---

- Which value of electronic total energy does entry 7 give?
  -25.60 eV/f.u.

---

What did the sixth record say?
Here is Tb5Tc2I2 after structural relaxation from the Alexandria database. Energies are from PBE.

The electronic total energy is -50.85 eV/f.u. The value obtained for the density of states at the Fermi level is 19.21 states/eV per cell. The calculation puts the formation energy without anion corrections at -3.9 eV/f.u.

Cell lengths 17.0199, 7.8474, 7.8442 Å; angles 90.00, 90.00, 90.00 degrees
Space group Cmce (No. 64)
Symmetry-distinct sites (fractional):
Tb 0.0000 0.0000 0.0000 [4 per cell]
Tb 0.1044 0.1577 0.3433 [16 per cell]
Tc 0.0000 0.1363 0.6360 [8 per cell]
I 0.2193 0.0000 0.0000 [8 per cell]